[1]
Here is a relaxed Ta2Ti2Ga5 crystal from the Alexandria database. Energies are from PBE.

Symmetry: C2/m, No. 12
Calculated formation energy in eV/atom: -0.26
E_tot in eV/atom: -6.332

Cell lengths 3.693, 6.483, 6.879 Å; angles 110.06, 90.00, 106.55 degrees
Fractional coordinates of all 9 atoms:
Ta (0.445, 0.891, 0.682)
Ta (0.555, 0.109, 0.318)
Ti (0.116, 0.232, 0.665)
Ti (0.884, 0.768, 0.335)
Ga (0.328, 0.657, 0.002)
Ga (0.672, 0.343, 0.998)
Ga (0.223, 0.447, 0.348)
Ga (0.777, 0.553, 0.652)
Ga (0.000, 0.000, 0.000)


[2]
Here is a relaxed Ta5TiGa5 crystal from the Alexandria database. Energies are from PBE.

Symmetry: C2/m, No. 12
Calculated formation energy in eV/atom: 0.12
E_tot in eV/atom: -7.358

Cell lengths 5.033, 5.730, 8.110 Å; angles 109.09, 90.00, 116.05 degrees
Fractional coordinates of all 11 atoms:
Ta (0.682, 0.364, 0.372)
Ta (0.599, 0.198, 0.707)
Ta (0.000, 0.000, 0.500)
Ta (0.401, 0.802, 0.293)
Ta (0.318, 0.636, 0.628)
Ti (0.000, 0.000, 0.000)
Ga (0.782, 0.564, 0.106)
Ga (0.849, 0.697, 0.696)
Ga (0.500, 0.000, 0.000)
Ga (0.151, 0.303, 0.304)
Ga (0.218, 0.436, 0.894)


[3]
Here is a relaxed Ta2TiGa2 crystal from the Alexandria database. Energies are from PBE.

Symmetry: Cmcm, No. 63
Calculated formation energy in eV/atom: 0.01
E_tot in eV/atom: -7.521
Excess energy over the best structure of this formula in the dataset in meV per atom: 290

Cell lengths 4.799, 5.302, 7.315 Å; angles 111.25, 90.00, 90.00 degrees
Fractional coordinates of all 10 atoms:
Ta (0.750, 0.428, 0.855)
Ta (0.750, 0.812, 0.624)
Ta (0.250, 0.572, 0.145)
Ta (0.250, 0.188, 0.376)
Ti (0.000, 0.000, 0.000)
Ti (0.500, 0.000, 0.000)
Ga (0.750, 0.398, 0.278)
Ga (0.250, 0.120, 0.722)
Ga (0.250, 0.602, 0.722)
Ga (0.750, 0.880, 0.278)